Density functional theory data (PBE) for an optimized crystal structure of Pm7Zn2Ir2.

It has space group Cmmm (No. 65), with a = 8.0687 Å, b = 11.0586 Å, c = 7.2183 Å, α = 90.00°, β = 90.00° and γ = 90.00°. Symmetry generates all atoms from Pm at (0.0000, 0.0000, 0.0000), Pm at (0.0000, 0.5000, 0.2535), Pm at (0.2500, 0.2500, 0.2597), Zn at (0.1645, 0.0000, 0.5000) and Ir at (0.0000, 0.2907, 0.0000).

Its mass density is 7.9 g/cm3. Its formation energy is -308 meV/atom. The total DFT energy (no corrections) comes out at -113.83 eV per cell.

Density functional theory data (PBE) for an optimized crystal structure of PmZn7Ir5.

It has space group Imm2 (No. 44), with a = 5.5217 Å, b = 8.8723 Å, c = 8.5811 Å, α = 90.00°, β = 90.00° and γ = 90.00°. Symmetry generates all atoms from Pm at (0.0000, 0.0000, 0.0000), Zn at (0.0000, 0.0000, 0.3406), Zn at (0.0000, 0.0000, 0.6530), Zn at (0.0000, 0.2873, 0.4900), Zn at (0.0000, 0.3420, 0.9829), Zn at (0.0000, 0.5000, 0.2606), Ir at (0.0000, 0.5000, 0.7180) and Ir at (0.2455, 0.2542, 0.2375).

Its mass density is 12.4 g/cm3. Its formation energy is -297 meV/atom. The total DFT energy (no corrections) comes out at -123.68 eV per cell.

Density functional theory data (PBE) for an optimized crystal structure of PmZn10Ir2.

It has space group Fmmm (No. 69), with a = 5.4789 Å, b = 12.3842 Å, c = 12.4782 Å, α = 90.00°, β = 90.00° and γ = 90.00°. Symmetry generates all atoms from Pm at (0.0000, 0.0000, 0.0000), Zn at (0.0000, 0.1092, 0.3906), Zn at (0.0000, 0.1798, 0.1700), Zn at (0.2500, 0.0000, 0.2500) and Ir at (0.2500, 0.2500, 0.0000).

Its mass density is 9.3 g/cm3. Its formation energy is -217 meV/atom. The total DFT energy (no corrections) comes out at -152.11 eV per cell.

Density functional theory data (PBE) for an optimized crystal structure of PmZnIr2.

It has space group Pmma (No. 51), with a = 5.5906 Å, b = 7.3056 Å, c = 8.7462 Å, α = 90.00°, β = 90.00° and γ = 90.00°. Symmetry generates all atoms from Pm at (0.2500, 0.0000, 0.1792), Pm at (0.2500, 0.5000, 0.2836), Zn at (0.2500, 0.0000, 0.7524), Zn at (0.2500, 0.5000, 0.7695), Ir at (0.0000, 0.0000, 0.5000), Ir at (0.0000, 0.5000, 0.0000) and Ir at (0.2500, 0.2978, 0.5418).

Its mass density is 11.1 g/cm3. Its formation energy is 116 meV/atom. The total DFT energy (no corrections) comes out at -93.12 eV per cell.

Density functional theory data (PBE) for an optimized crystal structure of Pm4Zn5Ir2.

It has space group P2/m (No. 10), with a = 7.0952 Å, b = 3.8765 Å, c = 9.1762 Å, α = 90.00°, β = 94.72° and γ = 90.00°. Symmetry generates all atoms from Pm at (0.1772, 0.0000, 0.3647), Pm at (0.2403, 0.0000, 0.9429), Zn at (0.1977, 0.5000, 0.6601), Zn at (0.4461, 0.5000, 0.1973), Zn at (0.5000, 0.5000, 0.5000) and Ir at (0.0716, 0.5000, 0.1484).

Its mass density is 8.5 g/cm3. Its formation energy is -418 meV/atom. The total DFT energy (no corrections) comes out at -47.70 eV per cell.

Density functional theory data (PBE) for an optimized crystal structure of PmZn5Ir2.

It has space group Immm (No. 71), with a = 4.0364 Å, b = 7.5848 Å, c = 9.4540 Å, α = 90.00°, β = 90.00° and γ = 90.00°. Symmetry generates all atoms from Pm at (0.0000, 0.0000, 0.0000), Zn at (0.0000, 0.1816, 0.3414), Zn at (0.0000, 0.5000, 0.0000) and Ir at (0.0000, 0.5000, 0.2622).

Its mass density is 9.8 g/cm3. Its formation energy is -314 meV/atom. The total DFT energy (no corrections) comes out at -62.70 eV per cell.